# 1
Compound: Sc2Pd6Pb
Source: Alexandria via LeMat-Bulk
Functional: PBE-GGA
Structure: optimized geometry

The structure in extended XYZ format:
```
9
Lattice="3.129 0.000 -0.122 0.000 7.624 0.000 -1.326 -3.812 7.015" Properties=species:S:1:pos:R:3 pbc="T T T"
Sc 0.151 0.000 4.637
Sc 1.651 3.812 2.256
Pd 1.719 2.244 4.552
Pd 1.564 5.226 -0.061
Pd 0.084 6.056 2.340
Pd 1.564 2.399 -0.061
Pd 0.084 1.569 2.340
Pd 1.719 -2.244 4.552
Pb 0.000 0.000 0.000
```

Properties
E ... -51.87 eV per formula unit
Space-group type ... No. 12

=====

# 2
Compound: Sc3Pd4Pb
Source: Alexandria via LeMat-Bulk
Functional: PBE-GGA
Structure: optimized geometry

The structure in extended XYZ format:
```
8
Lattice="4.498 0.000 1.328 2.053 4.002 1.328 0.009 0.006 8.251" Properties=species:S:1:pos:R:3 pbc="T T T"
Sc 4.906 2.997 8.228
Sc 1.654 1.011 2.679
Sc 3.280 2.004 5.453
Pb 0.000 0.000 0.000
Pd 4.040 2.468 2.880
Pd 5.691 3.477 5.569
Pd 2.521 1.540 8.027
Pd 0.869 0.531 5.338
```

Properties
E ... -49.81 eV per formula unit
Space-group type ... No. 166

=====

# 3
Compound: ScPd2Pb2
Source: Alexandria via LeMat-Bulk
Functional: PBE-GGA
Structure: optimized geometry

The structure in extended XYZ format:
```
10
Lattice="8.053 0.000 0.000 0.000 8.053 0.000 0.000 0.000 3.341" Properties=species:S:1:pos:R:3 pbc="T T T"
Pd 5.215 6.864 1.671
Pd 1.189 5.215 1.671
Pd 2.837 1.189 1.671
Pd 6.864 2.837 1.671
Pb 6.850 5.230 0.000
Pb 1.203 2.823 0.000
Pb 2.823 6.850 0.000
Pb 5.230 1.203 0.000
Sc 4.026 4.026 0.000
Sc 0.000 0.000 0.000
```

Properties
E ... -25.19 eV per formula unit
Space-group type ... No. 127

=====

# 4
Compound: Sc3Pd2Pb
Source: Alexandria via LeMat-Bulk
Functional: PBE-GGA
Structure: optimized geometry

The structure in extended XYZ format:
```
6
Lattice="3.315 0.000 0.000 0.000 3.315 0.000 0.000 0.000 11.122" Properties=species:S:1:pos:R:3 pbc="T T T"
Pd 1.657 1.657 9.468
Pd 1.657 1.657 1.654
Sc 0.000 0.000 3.309
Sc 0.000 0.000 7.813
Sc 0.000 0.000 0.000
Pb 1.657 1.657 5.561
```

Properties
E ... -37.25 eV per formula unit
Space-group type ... No. 123

=====

| no. | ΔE_f (meV/atom) |
| --- | --- |
| 1 | -483 |
| 2 | -792 |
| 3 | -211 |
| 4 | -693 |